[1]
{
  "formula": "AgPt2",
  "functional": "PBE-GGA",
  "state": "relaxed",
  "formation_enthalpy_0k_ev_per_atom": 0.026,
  "cell": [[3.745, -3.740, 0.000], [3.745, 3.740, 0.000], [-3.735, 0.000, 3.750]],
  "species": ["Ag", "Ag", "Pt", "Pt", "Pt", "Pt"],
  "frac_coords": [[0.625, 0.375, 0.250], [0.375, 0.625, 0.750], [0.000, 0.000, 0.000], [0.000, 0.500, 0.000], [0.000, 0.000, 0.500], [0.500, 0.000, 0.500]]
}

[2]
{
  "formula": "NbAsNO",
  "functional": "PBE-GGA",
  "state": "relaxed",
  "total_energy_ev_per_atom": -7.2903,
  "cell": [[-2.149, 0.111, 2.413], [-2.230, -1.331, -1.925], [2.874, -9.124, 2.981]],
  "species": ["As", "As", "N", "N", "Nb", "Nb", "O", "O"],
  "frac_coords": [[0.750, 0.250, 0.500], [0.250, 0.750, 0.500], [0.750, 0.750, 0.209], [0.250, 0.250, 0.791], [0.250, 0.250, 0.139], [0.750, 0.750, 0.861], [0.750, 0.250, 0.000], [0.250, 0.750, 0.000]]
}

[3]
{
  "formula": "SrTbS2",
  "functional": "PBE-GGA",
  "state": "relaxed",
  "total_energy_ev_per_atom": -5.6341,
  "cell": [[4.076, 0.000, 0.000], [0.000, 4.076, 0.000], [0.000, 0.000, 5.756]],
  "species": ["S", "S", "Sr", "Tb"],
  "frac_coords": [[0.500, 0.500, 0.000], [0.000, 0.000, 0.500], [0.500, 0.500, 0.500], [0.000, 0.000, 0.000]]
}

[4]
{
  "formula": "Er2Re",
  "functional": "PBE-GGA",
  "state": "relaxed",
  "formation_enthalpy_0k_ev_per_atom": 1.756,
  "cell": [[-5.362, -2.027, 5.879], [2.082, 0.787, 7.904], [-3.464, 5.858, 4.594]],
  "species": ["Er", "Er", "Er", "Er", "Re", "Re"],
  "frac_coords": [[0.375, 0.375, 0.375], [0.875, 0.375, 0.375], [0.375, 0.875, 0.375], [0.375, 0.375, 0.875], [0.250, 0.250, 0.250], [0.500, 0.500, 0.500]]
}

[5]
{
  "formula": "LiLuCoB",
  "functional": "PBE-GGA",
  "state": "relaxed",
  "total_energy_ev_per_atom": -4.7799,
  "cell": [[0.000, 2.937, 2.937], [2.937, 0.000, 2.937], [2.937, 2.937, 0.000]],
  "species": ["B", "Co", "Li", "Lu"],
  "frac_coords": [[0.000, 0.000, 0.000], [0.750, 0.750, 0.750], [0.250, 0.250, 0.250], [0.500, 0.500, 0.500]]
}

[6]
{
  "formula": "SiPbW4N2",
  "functional": "PBE-GGA",
  "state": "relaxed",
  "total_energy_ev_per_atom": -9.2734,
  "cell": [[-2.783, -1.119, -0.587], [2.237, -1.870, 0.915], [-3.613, 2.102, 13.125]],
  "species": ["N", "N", "Pb", "Si", "W", "W", "W", "W"],
  "frac_coords": [[0.333, 0.667, 0.269], [0.333, 0.667, 0.731], [0.000, 0.000, 0.000], [0.667, 0.333, 0.500], [0.667, 0.333, 0.180], [0.000, 0.000, 0.366], [0.000, 0.000, 0.634], [0.667, 0.333, 0.820]]
}

[7]
{
  "formula": "Zr3Re4Ag2",
  "functional": "PBE-GGA",
  "state": "relaxed",
  "formation_enthalpy_0k_ev_per_atom": 0.231,
  "cell": [[6.586, 0.000, 0.000], [0.000, 4.477, 0.000], [-3.290, 0.000, 5.708]],
  "species": ["Ag", "Ag", "Re", "Re", "Re", "Re", "Zr", "Zr", "Zr"],
  "frac_coords": [[0.000, 0.500, 0.000], [0.667, 0.000, 0.333], [0.040, 0.000, 0.248], [0.333, 0.000, 0.666], [0.752, 0.000, 0.792], [0.208, 0.000, 0.960], [0.435, 0.500, 0.437], [0.002, 0.500, 0.565], [0.562, 0.500, 0.998]]
}

[8]
{
  "formula": "ErZnPt",
  "functional": "PBE-GGA",
  "state": "relaxed",
  "formation_enthalpy_0k_ev_per_atom": -0.641,
  "cell": [[-4.626, -0.776, -0.620], [2.919, -3.632, 0.823], [-0.863, 0.595, 5.687]],
  "species": ["Er", "Er", "Pt", "Pt", "Zn", "Zn"],
  "frac_coords": [[0.667, 0.333, 0.250], [0.333, 0.667, 0.750], [0.000, 0.000, 0.000], [0.000, 0.000, 0.500], [0.333, 0.667, 0.250], [0.667, 0.333, 0.750]]
}

no.,M_tot (μB per formula unit)
1,0.0
2,0.0
3,0.0
4,1.0
5,0.0
6,0.0
7,0.0
8,0.0